DFT (PBE) results for a geometry-optimized CsCeMg2Cl8 structure.

The calculated total energy is -4.02 eV/atom. As for the size of the total moment: 1.0 μB per formula unit. The volume is 33.9 Å³ per atom. Its uncorrected formation energy is -1.9560 eV per atom.

Lattice parameters (Å, degrees): 6.672 6.672 11.235 72.73 72.73 60.00
Positions (direct):
Cl: 0.055 0.386 0.844
Cl: 0.817 0.817 0.548
Cl: 0.386 0.715 0.844
Cl: 0.285 0.945 0.156
Cl: 0.183 0.183 0.452
Cl: 0.715 0.055 0.844
Cl: 0.614 0.285 0.156
Cl: 0.945 0.614 0.156
Cs: 0.500 0.500 0.500
Ce: 0.000 0.000 0.000
Mg: 0.745 0.745 0.764
Mg: 0.255 0.255 0.236


DFT (PBE) results for a geometry-optimized CsNa2CeCl8 structure.

The calculated total energy is -3.73 eV/atom. As for the size of the total moment: 0.0 μB per formula unit. The volume is 32.1 Å³ per atom. Its uncorrected formation energy is -1.7166 eV per atom.

Lattice parameters (Å, degrees): 6.928 5.709 9.750 89.80 89.96 90.66
Positions (direct):
Cl: 0.508 0.747 0.500
Cl: 0.677 0.749 0.999
Cl: 0.323 0.251 0.001
Cl: 0.492 0.253 0.500
Cl: 0.155 0.752 0.199
Cl: 0.845 0.248 0.801
Cl: 0.157 0.754 0.802
Cl: 0.843 0.246 0.198
Na: 0.500 0.499 0.772
Na: 0.500 0.501 0.228
Cs: 0.000 0.000 0.500
Ce: 0.000 0.000 0.000